# 1
A plane-wave DFT calculation with GGA-PBE was carried out for a geometry-optimized NaAc2PaO6 structure.

The structure in CIF format:
```
data_NaAc2PaO6
_cell_length_a 6.2539
_cell_length_b 6.2539
_cell_length_c 15.5946
_cell_angle_alpha 90.00
_cell_angle_beta 90.00
_cell_angle_gamma 120.00
_space_group_name_H-M_alt 'R 3'
_space_group_IT_number 146
_space_group_name_Hall 'R 3'
loop_
_atom_site_label
_atom_site_fract_x
_atom_site_fract_y
_atom_site_fract_z
_atom_site_occupancy
Na1 0.0000 0.0000 0.0000 1
Ac1 0.0000 0.0000 0.2698 1
Ac2 0.0000 0.0000 0.7746 1
Pa1 0.0000 0.0000 0.4912 1
O1 0.0519 0.3362 0.5547 1
O2 0.0747 0.6808 0.0657 1
```

Uncorrected formation energy in eV/f.u.: -32.01
Calculated volume in Å³/atom: 17.61
M_tot in μB/atom: 0.000



# 2
A plane-wave DFT calculation with GGA-PBE was carried out for a geometry-optimized Sn2B2C structure.

The structure in CIF format:
```
data_Sn2B2C
_cell_length_a 6.6015
_cell_length_b 6.6015
_cell_length_c 3.4665
_cell_angle_alpha 90.00
_cell_angle_beta 90.00
_cell_angle_gamma 90.00
_space_group_name_H-M_alt 'P 4/m b m'
_space_group_IT_number 127
_space_group_name_Hall '-P 4 2ab'
loop_
_atom_site_label
_atom_site_fract_x
_atom_site_fract_y
_atom_site_fract_z
_atom_site_occupancy
Sn1 0.2331 0.2669 0.0000 1
B1 0.0839 0.5839 0.5000 1
C1 0.0000 0.0000 0.0000 1
```

Energy above the lowest structure with this stoichiometry in meV/atom: 0
Calculated volume in Å³/atom: 15.11
E_form in meV/atom: 1442
M_tot in μB/atom: 0.000



# 3
A plane-wave DFT calculation with GGA-PBE was carried out for a geometry-optimized TiH2Pt structure.

The structure in CIF format:
```
data_TiH2Pt
_cell_length_a 4.1577
_cell_length_b 4.1577
_cell_length_c 8.9936
_cell_angle_alpha 90.00
_cell_angle_beta 90.00
_cell_angle_gamma 90.00
_space_group_name_H-M_alt 'I -4 2 d'
_space_group_IT_number 122
_space_group_name_Hall 'I -4 2bw'
loop_
_atom_site_label
_atom_site_fract_x
_atom_site_fract_y
_atom_site_fract_z
_atom_site_occupancy
Ti1 0.0000 0.0000 0.0000 1
H1 0.2416 0.2500 0.6250 1
Pt1 0.0000 0.0000 0.5000 1
```

Energy above the lowest structure with this stoichiometry in meV/atom: 81
Calculated volume in Å³/atom: 9.72
M_tot in μB/atom: 0.126



# 4
A plane-wave DFT calculation with GGA-PBE was carried out for a geometry-optimized SmYZnRu structure.

The structure in CIF format:
```
data_SmYZnRu
_cell_length_a 7.0374
_cell_length_b 7.0374
_cell_length_c 7.0374
_cell_angle_alpha 90.00
_cell_angle_beta 90.00
_cell_angle_gamma 90.00
_space_group_name_H-M_alt 'F -4 3 m'
_space_group_IT_number 216
_space_group_name_Hall 'F -4 2 3'
loop_
_atom_site_label
_atom_site_fract_x
_atom_site_fract_y
_atom_site_fract_z
_atom_site_occupancy
Sm1 0.0000 0.0000 0.0000 1
Y1 0.0000 0.0000 0.5000 1
Zn1 0.2500 0.2500 0.7500 1
Ru1 0.2500 0.2500 0.2500 1
```

Energy above the lowest structure with this stoichiometry in meV/atom: 0
Calculated volume in Å³/atom: 21.78
E_form in meV/atom: -307
M_tot in μB/atom: 0.000



# 5
A plane-wave DFT calculation with GGA-PBE was carried out for a geometry-optimized Y12Er3Tl structure.

The structure in CIF format:
```
data_Y12Er3Tl
_cell_length_a 4.9683
_cell_length_b 4.9683
_cell_length_c 20.2245
_cell_angle_alpha 90.00
_cell_angle_beta 90.00
_cell_angle_gamma 90.00
_space_group_name_H-M_alt 'P 4/m m m'
_space_group_IT_number 123
_space_group_name_Hall '-P 4 2'
loop_
_atom_site_label
_atom_site_fract_x
_atom_site_fract_y
_atom_site_fract_z
_atom_site_occupancy
Y1 0.0000 0.0000 0.0000 1
Y2 0.0000 0.0000 0.2452 1
Y3 0.0000 0.0000 0.5000 1
Y4 0.0000 0.5000 0.1220 1
Y5 0.0000 0.5000 0.3738 1
Er1 0.5000 0.5000 0.2490 1
Er2 0.5000 0.5000 0.5000 1
Tl1 0.5000 0.5000 0.0000 1
```

Calculated volume in Å³/atom: 31.20
E_form in meV/atom: -25
M_tot in μB/atom: 0.002



# 6
A plane-wave DFT calculation with GGA-PBE was carried out for a geometry-optimized Cs2RbReF6 structure.

The structure in CIF format:
```
data_Cs2RbReF6
_cell_length_a 6.7039
_cell_length_b 6.7039
_cell_length_c 9.5662
_cell_angle_alpha 90.00
_cell_angle_beta 90.00
_cell_angle_gamma 90.00
_space_group_name_H-M_alt 'I 4/m m m'
_space_group_IT_number 139
_space_group_name_Hall '-I 4 2'
loop_
_atom_site_label
_atom_site_fract_x
_atom_site_fract_y
_atom_site_fract_z
_atom_site_occupancy
Cs1 0.0000 0.5000 0.2500 1
Rb1 0.0000 0.0000 0.0000 1
Re1 0.0000 0.0000 0.5000 1
F1 0.0000 0.0000 0.2807 1
F2 0.2170 0.2170 0.5000 1
```

Uncorrected formation energy in eV/f.u.: -23.18
Calculated volume in Å³/atom: 21.50
M_tot in μB/atom: 0.200



# 7
A plane-wave DFT calculation with GGA-PBE was carried out for a geometry-optimized YPCl structure.

The structure in CIF format:
```
data_YPCl
_cell_length_a 3.8529
_cell_length_b 3.8529
_cell_length_c 6.9334
_cell_angle_alpha 90.00
_cell_angle_beta 90.00
_cell_angle_gamma 120.00
_space_group_name_H-M_alt 'P 3 m 1'
_space_group_IT_number 156
_space_group_name_Hall 'P 3 -2"'
loop_
_atom_site_label
_atom_site_fract_x
_atom_site_fract_y
_atom_site_fract_z
_atom_site_occupancy
Y1 0.0000 0.0000 0.0000 1
P1 0.3333 0.6667 0.7599 1
Cl1 0.6667 0.3333 0.2408 1
```

Uncorrected formation energy in eV/f.u.: -3.17
Energy above the lowest structure with this stoichiometry in meV/atom: 388
Calculated volume in Å³/atom: 29.71
M_tot in μB/atom: 0.267



# 8
A plane-wave DFT calculation with GGA-PBE was carried out for a geometry-optimized MnMoCl4 structure.

The structure in CIF format:
```
data_MnMoCl4
_cell_length_a 8.2315
_cell_length_b 8.2315
_cell_length_c 8.2315
_cell_angle_alpha 90.00
_cell_angle_beta 90.00
_cell_angle_gamma 90.00
_space_group_name_H-M_alt 'F -4 3 m'
_space_group_IT_number 216
_space_group_name_Hall 'F -4 2 3'
loop_
_atom_site_label
_atom_site_fract_x
_atom_site_fract_y
_atom_site_fract_z
_atom_site_occupancy
Mn1 0.0000 0.0000 0.0000 1
Mo1 0.2500 0.2500 0.7500 1
Cl1 0.1255 0.1255 0.3745 1
```

Uncorrected formation energy in eV/f.u.: 6.19
Calculated volume in Å³/atom: 23.24
M_tot in μB/atom: 0.361



- Which of these has the highest M_tot?
  MnMoCl4